Entry 1:
# GGA-PBE Rb2Ga2Au5, optimized geometry
data_Rb2Ga2Au5
_symmetry_space_group_name_H-M 'P 1'
_symmetry_Int_Tables_number 1
_symmetry_space_group_name_Hall 'P 1'
_cell_length_a 4.668
_cell_length_b 7.473
_cell_length_c 9.084
_cell_angle_alpha 93.96
_cell_angle_beta 90.00
_cell_angle_gamma 108.20
loop_
_atom_site_label
_atom_site_type_symbol
_atom_site_fract_x
_atom_site_fract_y
_atom_site_fract_z
_atom_site_occupancy
Rb1 Rb 0.404 0.807 0.718 1
Rb2 Rb 0.596 0.193 0.282 1
Ga1 Ga 0.148 0.295 0.858 1
Ga2 Ga 0.852 0.705 0.142 1
Au1 Au 0.291 0.583 0.069 1
Au2 Au 0.709 0.417 0.931 1
Au3 Au 0.073 0.146 0.602 1
Au4 Au 0.927 0.854 0.398 1
Au5 Au 0.000 0.000 0.000 1
# * spin magnetization: 0.00 μB/cell
# * electronic total energy: -2.9099 eV per atom

---

Entry 2:
# GGA-PBE RbGaAu2, optimized geometry
data_RbGaAu2
_symmetry_space_group_name_H-M 'P 1'
_symmetry_Int_Tables_number 1
_symmetry_space_group_name_Hall 'P 1'
_cell_length_a 5.546
_cell_length_b 5.546
_cell_length_c 9.434
_cell_angle_alpha 72.90
_cell_angle_beta 72.90
_cell_angle_gamma 90.00
loop_
_atom_site_label
_atom_site_type_symbol
_atom_site_fract_x
_atom_site_fract_y
_atom_site_fract_z
_atom_site_occupancy
Au1 Au 0.375 0.125 0.250 1
Au2 Au 0.375 0.625 0.250 1
Au3 Au 0.375 0.625 0.750 1
Au4 Au 0.875 0.625 0.750 1
Ga1 Ga 0.500 0.500 0.000 1
Ga2 Ga 0.250 0.750 0.500 1
Rb1 Rb 0.000 0.000 0.000 1
Rb2 Rb 0.750 0.250 0.500 1
# * spin magnetization: 0.00 μB/cell
# * electronic total energy: -2.8780 eV per atom

---

Entry 3:
# GGA-PBE Rb2Ga7Au12, optimized geometry
data_Rb2Ga7Au12
_symmetry_space_group_name_H-M 'P 1'
_symmetry_Int_Tables_number 1
_symmetry_space_group_name_Hall 'P 1'
_cell_length_a 4.595
_cell_length_b 10.493
_cell_length_c 10.493
_cell_angle_alpha 120.00
_cell_angle_beta 90.00
_cell_angle_gamma 90.00
loop_
_atom_site_label
_atom_site_type_symbol
_atom_site_fract_x
_atom_site_fract_y
_atom_site_fract_z
_atom_site_occupancy
Rb1 Rb 0.237 0.333 0.667 1
Rb2 Rb 0.763 0.667 0.333 1
Ga1 Ga 0.500 0.000 0.000 1
Ga2 Ga 0.292 0.895 0.282 1
Ga3 Ga 0.292 0.387 0.105 1
Ga4 Ga 0.292 0.718 0.613 1
Ga5 Ga 0.708 0.105 0.718 1
Ga6 Ga 0.708 0.613 0.895 1
Ga7 Ga 0.708 0.282 0.387 1
Au1 Au 0.238 0.614 0.060 1
Au2 Au 0.238 0.447 0.386 1
Au3 Au 0.238 0.940 0.553 1
Au4 Au 0.762 0.386 0.940 1
Au5 Au 0.762 0.553 0.614 1
Au6 Au 0.762 0.060 0.447 1
Au7 Au 0.201 0.128 0.254 1
Au8 Au 0.201 0.126 0.872 1
Au9 Au 0.201 0.746 0.874 1
Au10 Au 0.799 0.872 0.746 1
Au11 Au 0.799 0.874 0.128 1
Au12 Au 0.799 0.254 0.126 1
# * spin magnetization: 0.00 μB/cell
# * electronic total energy: -3.1776 eV per atom

---

Entry 4:
# GGA-PBE Rb2Ga3Au5, optimized geometry
data_Rb2Ga3Au5
_symmetry_space_group_name_H-M 'P 1'
_symmetry_Int_Tables_number 1
_symmetry_space_group_name_Hall 'P 1'
_cell_length_a 6.767
_cell_length_b 9.266
_cell_length_c 9.266
_cell_angle_alpha 69.12
_cell_angle_beta 68.58
_cell_angle_gamma 68.58
loop_
_atom_site_label
_atom_site_type_symbol
_atom_site_fract_x
_atom_site_fract_y
_atom_site_fract_z
_atom_site_occupancy
Rb1 Rb 0.132 0.618 0.117 1
Rb2 Rb 0.632 0.117 0.618 1
Rb3 Rb 0.868 0.382 0.883 1
Rb4 Rb 0.368 0.883 0.382 1
Ga1 Ga 0.378 0.508 0.737 1
Ga2 Ga 0.878 0.737 0.508 1
Ga3 Ga 0.622 0.492 0.263 1
Ga4 Ga 0.122 0.263 0.492 1
Ga5 Ga 0.250 0.000 0.000 1
Ga6 Ga 0.750 0.000 0.000 1
Au1 Au 0.389 0.243 0.980 1
Au2 Au 0.889 0.980 0.243 1
Au3 Au 0.611 0.757 0.020 1
Au4 Au 0.111 0.020 0.757 1
Au5 Au 0.505 0.745 0.745 1
Au6 Au 0.495 0.255 0.255 1
Au7 Au 0.750 0.500 0.500 1
Au8 Au 0.250 0.500 0.500 1
Au9 Au 0.995 0.255 0.255 1
Au10 Au 0.005 0.745 0.745 1
# * spin magnetization: 0.00 μB/cell
# * electronic total energy: -2.9992 eV per atom

---

Entry 5:
# GGA-PBE Rb2Ga2Au, optimized geometry
data_Rb2Ga2Au
_symmetry_space_group_name_H-M 'P 1'
_symmetry_Int_Tables_number 1
_symmetry_space_group_name_Hall 'P 1'
_cell_length_a 5.217
_cell_length_b 5.217
_cell_length_c 7.978
_cell_angle_alpha 70.92
_cell_angle_beta 70.92
_cell_angle_gamma 90.00
loop_
_atom_site_label
_atom_site_type_symbol
_atom_site_fract_x
_atom_site_fract_y
_atom_site_fract_z
_atom_site_occupancy
Au1 Au 0.000 0.000 0.000 1
Ga1 Ga 0.415 0.415 0.171 1
Ga2 Ga 0.585 0.585 0.829 1
Rb1 Rb 0.750 0.250 0.500 1
Rb2 Rb 0.250 0.750 0.500 1
# * polymorph energy (0 for the lowest one): 498 meV per atom
# * spin magnetization: 0.00 μB/cell
# * electronic total energy: -1.8361 eV per atom

---

Entry 6:
# GGA-PBE RbGa3Au, optimized geometry
data_RbGa3Au
_symmetry_space_group_name_H-M 'P 1'
_symmetry_Int_Tables_number 1
_symmetry_space_group_name_Hall 'P 1'
_cell_length_a 4.669
_cell_length_b 4.671
_cell_length_c 6.418
_cell_angle_alpha 68.70
_cell_angle_beta 68.71
_cell_angle_gamma 89.99
loop_
_atom_site_label
_atom_site_type_symbol
_atom_site_fract_x
_atom_site_fract_y
_atom_site_fract_z
_atom_site_occupancy
Rb1 Rb 0.399 0.203 0.907 1
Ga1 Ga 0.651 0.955 0.404 1
Ga2 Ga 0.151 0.454 0.404 1
Ga3 Ga 0.779 0.583 0.147 1
Au1 Au 0.027 0.831 0.651 1
# * polymorph energy (0 for the lowest one): 0 meV per atom
# * spin magnetization: 0.00 μB/cell
# * electronic total energy: -2.8462 eV per atom

---

Entry 7:
# GGA-PBE RbGa3Au2, optimized geometry
data_RbGa3Au2
_symmetry_space_group_name_H-M 'P 1'
_symmetry_Int_Tables_number 1
_symmetry_space_group_name_Hall 'P 1'
_cell_length_a 4.632
_cell_length_b 8.245
_cell_length_c 8.776
_cell_angle_alpha 112.02
_cell_angle_beta 90.00
_cell_angle_gamma 106.31
loop_
_atom_site_label
_atom_site_type_symbol
_atom_site_fract_x
_atom_site_fract_y
_atom_site_fract_z
_atom_site_occupancy
Rb1 Rb 0.832 0.664 0.906 1
Rb2 Rb 0.168 0.336 0.094 1
Ga1 Ga 0.322 0.644 0.575 1
Ga2 Ga 0.998 0.996 0.689 1
Ga3 Ga 0.582 0.164 0.629 1
Ga4 Ga 0.418 0.836 0.371 1
Ga5 Ga 0.002 0.004 0.311 1
Ga6 Ga 0.678 0.356 0.425 1
Au1 Au 0.486 0.972 0.832 1
Au2 Au 0.514 0.028 0.168 1
Au3 Au 0.842 0.684 0.414 1
Au4 Au 0.158 0.316 0.586 1
# * polymorph energy (0 for the lowest one): 0 meV per atom
# * spin magnetization: 0.00 μB/cell
# * electronic total energy: -3.0157 eV per atom

---

Entry 8:
# GGA-PBE RbGa6Au, optimized geometry
data_RbGa6Au
_symmetry_space_group_name_H-M 'P 1'
_symmetry_Int_Tables_number 1
_symmetry_space_group_name_Hall 'P 1'
_cell_length_a 4.643
_cell_length_b 4.643
_cell_length_c 8.235
_cell_angle_alpha 90.00
_cell_angle_beta 90.00
_cell_angle_gamma 90.00
loop_
_atom_site_label
_atom_site_type_symbol
_atom_site_fract_x
_atom_site_fract_y
_atom_site_fract_z
_atom_site_occupancy
Rb1 Rb 0.000 0.000 0.000 1
Ga1 Ga 0.500 0.000 0.671 1
Ga2 Ga 0.000 0.500 0.671 1
Ga3 Ga 0.500 0.500 0.161 1
Ga4 Ga 0.500 0.500 0.839 1
Ga5 Ga 0.000 0.500 0.329 1
Ga6 Ga 0.500 0.000 0.329 1
Au1 Au 0.000 0.000 0.500 1
# * spin magnetization: 0.00 μB/cell
# * electronic total energy: -2.9725 eV per atom